# V2Si4O11 | the Alexandria database | GGA+U | relaxed
data_V2Si4O11
_chemical_formula_sum 'V4 Si8 O22'
_cell_length_a 6.990
_cell_length_b 7.371
_cell_length_c 8.617
_cell_angle_alpha 99.67
_cell_angle_beta 101.37
_cell_angle_gamma 104.64
_symmetry_space_group_name_H-M 'P -1'
_symmetry_Int_Tables_number 2
loop_
_symmetry_equiv_pos_as_xyz
'x,y,z'
'-x,-y,-z'
loop_
_atom_site_label
_atom_site_type_symbol
_atom_site_fract_x
_atom_site_fract_y
_atom_site_fract_z
_atom_site_occupancy
V1 V 0.113 0.375 0.114 1
V2 V 0.385 0.623 0.886 1
Si1 Si 0.019 0.221 0.720 1
Si2 Si 0.272 0.622 0.478 1
Si3 Si 0.272 0.982 0.105 1
Si4 Si 0.456 0.216 0.722 1
O1 O 0.087 0.418 0.873 1
O2 O 0.105 0.742 0.444 1
O3 O 0.107 0.958 0.215 1
O4 O 0.182 0.796 0.946 1
O5 O 0.199 0.421 0.339 1
O6 O 0.212 0.161 0.683 1
O7 O 0.313 0.592 0.660 1
O8 O 0.318 0.200 0.071 1
O9 O 0.433 0.585 0.128 1
O10 O 0.479 0.759 0.444 1
O11 O 0.486 0.961 0.206 1
# Volume in Å³/cell: 409.90
# Magnetization in μB per formula unit: 4.000
# Calculated total energy in eV per atom: -7.86